Tb7Tm3Sc2 after structural relaxation, computed with PBE-GGA.

```
Tb7Tm3Sc2
1.0
-0.666 1.675 -3.019
-0.473 -5.012 -2.677
-17.473 3.625 5.866
Tb Tm Sc
7 3 2
Direct
0.500 0.720 0.462 Tb
0.500 0.280 0.538 Tb
0.000 0.466 0.147 Tb
0.000 0.000 0.000 Tb
0.000 0.534 0.853 Tb
0.500 0.998 0.815 Tb
0.500 0.002 0.185 Tb
0.500 0.500 0.000 Tm
0.000 0.146 0.367 Tm
0.000 0.854 0.633 Tm
0.500 0.588 0.297 Sc
0.500 0.412 0.703 Sc
```

The total energy comes out at -4.770 eV/atom. The calculation puts the magnetization at 0.000 Bohr magnetons per cell. The crystal system is monoclinic.